# 1
Material: AlPtAu
Method: DFT, PBEsol
State: relaxed

Cell lengths 2.9649, 4.2592, 4.2592 Å; angles 120.00, 90.00, 90.00 degrees
Closest atoms and distances in Å follow each position.
Atoms (fractional coordinates):
Au1 0.7070 0.3333 0.6667  3 Al 2.68, 6 Pt 2.85-2.90, 2 Au 2.96
Al1 0.0694 0.0000 0.0000  3 Pt 2.50, 3 Au 2.68
Pt1 0.2236 0.6667 0.3333  3 Al 2.50

Density = 14.9 g cm⁻³
E_form = -500 meV per atom
D(E_F) = 1.048 states/eV/cell

---

# 2
Material: AlPtAu2
Method: DFT, PBEsol
State: relaxed

Cell lengths 2.9108, 2.9108, 8.8165 Å; angles 80.50, 80.50, 60.00 degrees
Closest atoms and distances in Å follow each position.
Atoms (fractional coordinates):
Au1 0.9924 0.9924 0.0229  3 Al 2.63, 9 Au 2.91-2.93
Au2 0.7513 0.7513 0.7461  3 Pt 2.89, 9 Au 2.91-2.93
Al1 0.2476 0.2476 0.2571  3 Pt 2.52, 3 Au 2.63
Pt1 0.5087 0.5087 0.4739  3 Al 2.52

Density = 16.1 g cm⁻³
E_form = -338 meV per atom
D(E_F) = 1.055 states/eV/cell

---

# 3
Material: AlPt2Au
Method: DFT, PBEsol
State: relaxed

Cell lengths 3.8045, 3.9736, 3.9736 Å; angles 90.00, 90.00, 90.00 degrees
Closest atoms and distances in Å follow each position.
Atoms (fractional coordinates):
Au1 0.5000 0.0000 0.0000  8 Pt 2.75, 4 Al 2.81
Al1 0.5000 0.5000 0.5000  8 Pt 2.75, 4 Au 2.81
Pt1 0.0000 0.0000 0.5000  4 Al 2.75, 4 Au 2.75, 4 Pt 2.81
Pt2 0.0000 0.5000 0.0000  4 Au 2.75, 4 Al 2.75, 4 Pt 2.81

Density = 17.0 g cm⁻³
E_form = -587 meV per atom
D(E_F) = 0.523 states/eV/cell

---

# 4
Material: Rb2AlAu
Method: DFT, PBEsol
State: relaxed

Cell lengths 4.8381, 9.3976, 9.3976 Å; angles 86.20, 75.08, 75.08 degrees
Closest atoms and distances in Å follow each position.
Atoms (fractional coordinates):
Au1 0.7500 0.5000 0.5000  2 Al 2.42
Au2 0.0000 0.0000 0.0000  2 Al 2.42
Al1 0.2500 0.5000 0.5000  2 Au 2.42
Al2 0.5000 0.0000 0.0000  2 Au 2.42
Rb1 0.9434 0.1816 0.6816  2 Au 3.38
Rb2 0.8066 0.8184 0.3184  2 Au 3.38
Rb3 0.3750 0.6816 0.8184  2 Au 3.38
Rb4 0.8750 0.3184 0.1816  2 Au 3.38

Density = 3.3 g cm⁻³
E_form = 24 meV per atom
D(E_F) = 6.034 states/eV/cell

---

# 5
Material: AlReAu2
Method: DFT, PBEsol
State: relaxed

Cell lengths 2.8024, 4.2586, 5.4071 Å; angles 90.00, 104.65, 90.00 degrees
Closest atoms and distances in Å follow each position.
Atoms (fractional coordinates):
Re1 0.5000 0.5000 0.0000  2 Al 2.70, 2 Re 2.80, 8 Au 2.86-2.90
Au1 0.8871 0.0000 0.7432  2 Al 2.59, 4 Au 2.69-2.86, 4 Re 2.86-2.90
Au2 0.1129 0.0000 0.2568  2 Al 2.59, 4 Au 2.69-2.86, 4 Re 2.86-2.90
Al1 0.5000 0.5000 0.5000  4 Au 2.59, 2 Re 2.70, 2 Al 2.80

Density = 16.1 g cm⁻³
E_form = 215 meV per atom
D(E_F) = 3.181 states/eV/cell

---

# 6
Material: Al2ReAu
Method: DFT, PBEsol
State: relaxed

Cell lengths 2.8102, 2.8102, 8.3844 Å; angles 90.00, 90.00, 113.04 degrees
Closest atoms and distances in Å follow each position.
Atoms (fractional coordinates):
Re1 0.5000 0.5000 0.0000  4 Al 2.53, 4 Re 2.81
Au1 0.5000 0.5000 0.5000  4 Al 2.68, 4 Au 2.81
Al1 0.0000 0.0000 0.2385  2 Re 2.53, 2 Au 2.68, 4 Al 2.81
Al2 0.0000 0.0000 0.7615  2 Re 2.53, 2 Au 2.68, 4 Al 2.81

Density = 11.9 g cm⁻³
E_form = -68 meV per atom
D(E_F) = 1.942 states/eV/cell
Excess energy over the best structure of this formula in the dataset = 204.1 meV/atom

---

# 7
Material: AlReAu3
Method: DFT, PBEsol
State: relaxed

Cell lengths 4.6110, 4.6110, 4.6110 Å; angles 90.00, 90.00, 90.00 degrees
Closest atoms and distances in Å follow each position.
Atoms (fractional coordinates):
Re1 0.5000 0.5000 0.5000  12 Au 3.26
Au1 0.0000 0.5000 0.0000  2 Al 2.31
Au2 0.0000 0.0000 0.5000  2 Al 2.31
Au3 0.5000 0.0000 0.0000  2 Al 2.31
Al1 0.0000 0.0000 0.0000  6 Au 2.31

Density = 13.6 g cm⁻³
E_form = 1338 meV per atom
D(E_F) = 3.809 states/eV/cell

---

# 8
Material: Al2ReAu
Method: DFT, PBEsol
State: relaxed

Cell lengths 4.3232, 4.3531, 4.3232 Å; angles 60.23, 90.00, 119.77 degrees
Closest atoms and distances in Å follow each position.
Atoms (fractional coordinates):
Re1 0.5000 0.0000 0.5000  8 Al 2.66
Au1 0.0000 0.0000 0.0000  8 Al 2.66
Al1 0.2500 0.5000 0.2500  4 Re 2.66, 4 Au 2.66
Al2 0.7500 0.5000 0.7500  4 Au 2.66, 4 Re 2.66

Density = 12.5 g cm⁻³
E_form = -138 meV per atom
D(E_F) = 1.337 states/eV/cell
Excess energy over the best structure of this formula in the dataset = 134.6 meV/atom

---

# 9
Material: AlReAu2
Method: DFT, PBEsol
State: relaxed

Cell lengths 3.7152, 4.0272, 4.1606 Å; angles 90.00, 90.00, 90.00 degrees
Closest atoms and distances in Å follow each position.
Atoms (fractional coordinates):
Re1 0.5000 0.0000 0.5000  4 Al 2.74, 8 Au 2.79-2.90
Au1 0.0000 0.0000 0.0000  4 Au 2.74, 4 Re 2.79, 4 Al 2.90
Au2 0.5000 0.5000 0.0000  4 Au 2.74, 4 Al 2.79, 4 Re 2.90
Al1 0.0000 0.5000 0.5000  4 Re 2.74, 8 Au 2.79-2.90

Density = 16.2 g cm⁻³
E_form = 170 meV per atom
D(E_F) = 2.448 states/eV/cell

---

# 10
Material: AlRe2Au
Method: DFT, PBEsol
State: relaxed

Cell lengths 2.8225, 4.0932, 5.2609 Å; angles 90.00, 90.00, 90.00 degrees
Closest atoms and distances in Å follow each position.
Atoms (fractional coordinates):
Re1 0.0000 0.0000 0.7743  1 Re 2.37
Re2 0.0000 0.0000 0.2257  1 Re 2.37
Au1 0.5000 0.5000 0.5000  2 Al 2.63, 2 Au 2.82, 8 Re 2.87
Al1 0.5000 0.5000 0.0000  2 Au 2.63, 8 Re 2.76, 2 Al 2.82

Density = 16.3 g cm⁻³
E_form = 262 meV per atom
D(E_F) = 3.002 states/eV/cell

---

# 11
Material: Al2ReAu
Method: DFT, PBEsol
State: relaxed

Cell lengths 3.6734, 3.6734, 5.0946 Å; angles 111.13, 111.13, 90.00 degrees
Closest atoms and distances in Å follow each position.
Atoms (fractional coordinates):
Re1 0.2500 0.7500 0.5000  8 Al 2.60-2.86, 4 Au 2.86
Au1 0.5000 0.5000 0.0000  8 Al 2.60-2.86, 4 Re 2.86
Al1 0.0000 0.0000 0.0000  4 Au 2.60, 4 Al 2.86, 4 Re 2.86
Al2 0.7500 0.2500 0.5000  4 Re 2.60, 4 Al 2.86, 4 Au 2.86

Density = 12.3 g cm⁻³
E_form = -137 meV per atom
D(E_F) = 1.435 states/eV/cell
Excess energy over the best structure of this formula in the dataset = 135.8 meV/atom

---

# 12
Material: AlRe2Au
Method: DFT, PBEsol
State: relaxed

Cell lengths 3.7802, 3.7802, 4.9803 Å; angles 112.30, 112.30, 90.00 degrees
Closest atoms and distances in Å follow each position.
Atoms (fractional coordinates):
Re1 0.7500 0.2500 0.5000  4 Re 2.67, 4 Al 2.83, 4 Au 2.83
Re2 0.2500 0.7500 0.5000  4 Re 2.67, 4 Au 2.83, 4 Al 2.83
Au1 0.0000 0.0000 0.0000  4 Al 2.67, 8 Re 2.83
Al1 0.5000 0.5000 0.0000  4 Au 2.67, 8 Re 2.83

Density = 16.5 g cm⁻³
E_form = 341 meV per atom
D(E_F) = 6.633 states/eV/cell